Entry from Alexandria: a geometry-optimized ZrRh2W structure (PBEsol).

```
ZrRh2W
1.0
4.483 0.000 0.000
2.242 3.883 0.000
2.242 1.294 3.661
Zr Rh W
1 2 1
Direct
0.500 0.500 0.500
0.750 0.750 0.750
0.250 0.250 0.250
0.000 0.000 0.000
```

## Properties
Volume: 15.9 A^3/atom
Calculated total energy: -9.900 eV per atom
M_tot: 0.0 μB per formula unit
Space group: No. 225
Excess energy over the best structure of this formula in the dataset: 204 meV per atom
ΔH_f (0 K): -0.11 eV per atom